No. 1
Here is AcAlReO6 after structural relaxation from Alexandria via LeMat-Bulk. Energies are from PBE.

Values from the calculation:
Its space-group type is P-31c. The crystal system is trigonal.

Structure (CIF):
```
data_AcAlReO6
_cell_length_a 5.1507
_cell_length_b 5.1507
_cell_length_c 10.6898
_cell_angle_alpha 90.00
_cell_angle_beta 90.00
_cell_angle_gamma 120.00
_symmetry_space_group_name_H-M 'P 1'
_symmetry_Int_Tables_number 1
_symmetry_space_group_name_Hall 'P 1'
loop_
_atom_site_label
_atom_site_type_symbol
_atom_site_fract_x
_atom_site_fract_y
_atom_site_fract_z
_atom_site_occupancy
Ac1 Ac 0.0000 0.0000 0.0000 1
Ac2 Ac 0.0000 0.0000 0.5000 1
Al1 Al 0.3333 0.6667 0.2500 1
Al2 Al 0.6667 0.3333 0.7500 1
Re1 Re 0.3333 0.6667 0.7500 1
Re2 Re 0.6667 0.3333 0.2500 1
O1 O 0.0030 0.3869 0.1491 1
O2 O 0.0030 0.6161 0.3509 1
O3 O 0.3839 0.3869 0.3509 1
O4 O 0.3839 0.9970 0.1491 1
O5 O 0.3869 0.0030 0.6491 1
O6 O 0.3869 0.3839 0.8509 1
O7 O 0.6131 0.6161 0.1491 1
O8 O 0.6131 0.9970 0.3509 1
O9 O 0.6161 0.0030 0.8509 1
O10 O 0.6161 0.6131 0.6491 1
O11 O 0.9970 0.3839 0.6491 1
O12 O 0.9970 0.6131 0.8509 1
```

No. 2
Here is AcAl2ReO8 after structural relaxation from Alexandria via LeMat-Bulk. Energies are from PBE.

Values from the calculation:
Its space-group type is C2/m. The crystal system is monoclinic.

Structure (CIF):
```
data_AcAl2ReO8
_cell_length_a 4.8590
_cell_length_b 4.8590
_cell_length_c 6.9563
_cell_angle_alpha 100.18
_cell_angle_beta 100.18
_cell_angle_gamma 76.99
_symmetry_space_group_name_H-M 'P 1'
_symmetry_Int_Tables_number 1
_symmetry_space_group_name_Hall 'P 1'
loop_
_atom_site_label
_atom_site_type_symbol
_atom_site_fract_x
_atom_site_fract_y
_atom_site_fract_z
_atom_site_occupancy
Ac1 Ac 0.0000 0.0000 0.0000 1
Al1 Al 0.4497 0.4497 0.7886 1
Al2 Al 0.5503 0.5503 0.2114 1
Re1 Re 0.0000 0.0000 0.5000 1
O1 O 0.2154 0.7728 0.6976 1
O2 O 0.2272 0.7846 0.3024 1
O3 O 0.2468 0.2468 0.5772 1
O4 O 0.3395 0.3395 0.9982 1
O5 O 0.6605 0.6605 0.0018 1
O6 O 0.7532 0.7532 0.4228 1
O7 O 0.7728 0.2154 0.6976 1
O8 O 0.7846 0.2272 0.3024 1
```

Energy relative to the elements, uncorrected / eV/atom: -2.51, -2.43